No. 1
Here is a geometry-optimized PrIn3 structure from Alexandria. Energies are from GGA-PBE.

Results
E: -3.5171 eV/atom
Energy of formation: -0.268 eV per atom
Total magnetization: 0.7 Bohr magnetons per cell
Space group: Imm2, No. 44

a b c (Å): 3.4641 11.0052 5.8656
angles (deg): 90.00 90.00 90.00
Fractional positions:
Pr1 0.0000 0.0000 0.0000
Pr2 0.5000 0.5000 0.5000
In1 0.0000 0.2480 0.3274
In2 0.0000 0.5000 0.9975
In3 0.0000 0.7520 0.3274
In4 0.5000 0.0000 0.4975
In5 0.5000 0.2520 0.8274
In6 0.5000 0.7480 0.8274

No. 2
Here is a geometry-optimized AgRuRh2 structure from Alexandria. Energies are from GGA-PBE.

Results
E: -6.0054 eV/atom
Energy above the most stable polymorph in this dataset: 576 meV/atom
Energy of formation: 0.702 eV per atom
Total magnetization: 0.0 Bohr magnetons per cell
Space group: I-42d, No. 122

a b c (Å): 7.0496 7.0496 5.4119
angles (deg): 90.00 90.00 90.00
Fractional positions:
Ag1 0.0000 0.0000 0.0000
Ag2 0.0000 0.5000 0.2500
Ag3 0.5000 0.0000 0.7500
Ag4 0.5000 0.5000 0.5000
Ru1 0.0000 0.0000 0.5000
Ru2 0.0000 0.5000 0.7500
Ru3 0.5000 0.0000 0.2500
Ru4 0.5000 0.5000 0.0000
Rh1 0.2145 0.2500 0.6250
Rh2 0.2500 0.7145 0.8750
Rh3 0.2500 0.7855 0.3750
Rh4 0.2855 0.2500 0.1250
Rh5 0.7145 0.7500 0.1250
Rh6 0.7500 0.2145 0.3750
Rh7 0.7500 0.2855 0.8750
Rh8 0.7855 0.7500 0.6250